Version P
First-principles (GGA-PBE) data for a relaxed structure of LaYTa2, as listed in Alexandria via LeMat-Bulk.

Calculated values
As for the space group: Cm, No. 8.

Cell and atoms, written as POSCAR:
```
LaYTa2
1.0
5.006 -0.007 -0.008
4.052 2.940 -0.008
0.366 0.119 6.920
Y La Ta
1 1 2
direct
0.493 0.493 0.549 Y
0.253 0.253 0.216 La
0.007 0.007 0.948 Ta
0.747 0.747 0.788 Ta
```

Version Q
First-principles (GGA-PBE) data for a relaxed structure of LaYTa2, as listed in Alexandria via LeMat-Bulk.

Calculated values
As for the space group: Fm-3m, No. 225.

Cell and atoms, written as POSCAR:
```
LaYTa2
1.0
-2.521 2.380 3.797
-4.747 1.807 -0.803
-4.031 -2.280 2.234
La Y Ta
1 1 2
direct
0.500 0.500 0.500 La
0.000 0.000 0.000 Y
0.250 0.250 0.250 Ta
0.750 0.750 0.750 Ta
```

Relative to the most stable structure, the computed energies are version P 0.000; version Q 0.300, all in eV/atom.